Record 1
A relaxed structure of TaAlP2, computed with GGA-PBE.

The structure in POSCAR format:
```
TaAlP2
1.0
3.506 0.000 0.000
0.000 3.510 0.000
-0.058 0.000 5.242
Ta Al P
1 1 2
direct
0.000 0.000 0.000
0.503 0.500 0.605
0.004 0.000 0.505
0.502 0.500 0.077
```

Calculated values
**VASP energy**: -6.961 eV/atom
**Fermi-level density of states**: 1.90 states/eV/cell
**ρ**: 6.946 g/cm3

---

Record 2
A relaxed structure of TaAl2P, computed with GGA-PBE.

The structure in POSCAR format:
```
TaAl2P
1.0
4.290 0.000 0.000
0.000 4.290 0.000
0.000 0.000 3.417
Ta Al P
1 2 1
direct
0.000 0.000 0.000
0.000 0.500 0.500
0.500 0.000 0.500
0.500 0.500 0.000
```

Calculated values
**VASP energy**: -6.151 eV/atom
**Fermi-level density of states**: 2.01 states/eV/cell
**ρ**: 7.019 g/cm3

---

Record 3
A relaxed structure of TaAlP, computed with GGA-PBE.

The structure in POSCAR format:
```
TaAlP
1.0
5.876 0.000 0.000
0.000 5.876 0.000
0.000 0.000 5.876
Ta Al P
4 4 4
direct
0.000 0.000 0.000
0.000 0.500 0.500
0.500 0.000 0.500
0.500 0.500 0.000
0.000 0.000 0.500
0.000 0.500 0.000
0.500 0.000 0.000
0.500 0.500 0.500
0.250 0.250 0.750
0.250 0.750 0.250
0.750 0.250 0.250
0.750 0.750 0.750
```

Calculated values
**VASP energy**: -6.927 eV/atom
**Fermi-level density of states**: 13.73 states/eV/cell
**ρ**: 7.821 g/cm3

---

Record 4
A relaxed structure of Ta2AlP, computed with GGA-PBE.

The structure in POSCAR format:
```
Ta2AlP
1.0
3.146 0.000 0.000
-1.573 2.725 0.000
0.000 0.000 24.420
Ta Al P
6 3 3
direct
0.000 0.000 0.000
0.000 0.000 0.242
0.333 0.667 0.667
0.333 0.667 0.909
0.667 0.333 0.333
0.667 0.333 0.576
0.000 0.000 0.758
0.333 0.667 0.424
0.667 0.333 0.091
0.000 0.000 0.505
0.333 0.667 0.171
0.667 0.333 0.838
```

Calculated values
**Relative energy among the computed polymorphs**: 272 meV/atom
**VASP energy**: -8.270 eV/atom
**Fermi-level density of states**: 8.63 states/eV/cell
**ρ**: 9.992 g/cm3

---

Record 5
A relaxed structure of TaAlP, computed with GGA-PBE.

The structure in POSCAR format:
```
TaAlP
1.0
2.215 1.279 6.129
-2.215 1.279 6.129
0.000 -2.558 6.129
Ta Al P
2 2 2
direct
0.080 0.080 0.080
0.920 0.920 0.920
0.351 0.351 0.351
0.649 0.649 0.649
0.219 0.219 0.219
0.781 0.781 0.781
```

Calculated values
**VASP energy**: -7.061 eV/atom
**Fermi-level density of states**: 3.14 states/eV/cell
**ρ**: 7.617 g/cm3

---

Record 6
A relaxed structure of TaAlP2, computed with GGA-PBE.

The structure in POSCAR format:
```
TaAlP2
1.0
5.697 0.000 0.000
0.000 5.697 0.000
0.000 0.000 10.571
Ta Al P
4 4 8
direct
0.000 0.000 0.000
0.000 0.500 0.250
0.500 0.000 0.750
0.500 0.500 0.500
0.000 0.000 0.500
0.000 0.500 0.750
0.500 0.000 0.250
0.500 0.500 0.000
0.242 0.250 0.625
0.250 0.742 0.875
0.250 0.758 0.375
0.258 0.250 0.125
0.742 0.750 0.125
0.750 0.242 0.375
0.750 0.258 0.875
0.758 0.750 0.625
```

Calculated values
**VASP energy**: -6.704 eV/atom
**Fermi-level density of states**: 19.94 states/eV/cell
**ρ**: 5.225 g/cm3

---

Record 7
A relaxed structure of TaAlP2, computed with GGA-PBE.

The structure in POSCAR format:
```
TaAlP2
1.0
3.405 0.000 0.000
-1.702 2.949 0.000
0.000 0.000 19.341
Ta Al P
3 3 6
direct
0.000 0.000 0.000
0.333 0.667 0.667
0.667 0.333 0.333
0.000 0.000 0.500
0.333 0.667 0.167
0.667 0.333 0.833
0.000 0.000 0.248
0.000 0.000 0.752
0.333 0.667 0.418
0.333 0.667 0.915
0.667 0.333 0.085
0.667 0.333 0.582
```

Calculated values
**VASP energy**: -7.047 eV/atom
**Fermi-level density of states**: 3.10 states/eV/cell
**ρ**: 6.924 g/cm3

---

Record 8
A relaxed structure of TaAlP2, computed with GGA-PBE.

The structure in POSCAR format:
```
TaAlP2
1.0
3.244 0.000 0.000
0.000 3.244 0.000
0.000 0.000 5.821
Ta Al P
1 1 2
direct
0.000 0.000 0.000
0.000 0.000 0.500
0.500 0.500 0.228
0.500 0.500 0.772
```

Calculated values
**VASP energy**: -6.914 eV/atom
**Fermi-level density of states**: 1.30 states/eV/cell
**ρ**: 7.317 g/cm3

---

Record 9
A relaxed structure of TaAl2P, computed with GGA-PBE.

The structure in POSCAR format:
```
TaAl2P
1.0
3.727 0.000 0.000
0.000 3.727 0.000
0.000 0.000 8.880
Ta Al P
2 4 2
direct
0.000 0.000 0.000
0.500 0.500 0.500
0.000 0.500 0.250
0.000 0.500 0.750
0.500 0.000 0.250
0.500 0.000 0.750
0.000 0.000 0.500
0.500 0.500 0.000
```

Calculated values
**VASP energy**: -6.338 eV/atom
**Fermi-level density of states**: 4.28 states/eV/cell
**ρ**: 7.160 g/cm3

---

Record 10
A relaxed structure of TaAl2P, computed with GGA-PBE.

The structure in POSCAR format:
```
TaAl2P
1.0
3.544 0.000 0.000
0.000 3.496 0.000
0.000 0.000 10.672
Ta Al P
2 4 2
direct
0.000 0.000 0.000
0.000 0.500 0.500
0.000 0.000 0.273
0.000 0.500 0.773
0.500 0.000 0.613
0.500 0.500 0.113
0.500 0.000 0.839
0.500 0.500 0.339
```

Calculated values
**VASP energy**: -6.458 eV/atom
**Fermi-level density of states**: 2.15 states/eV/cell
**ρ**: 6.678 g/cm3

---

Record 11
A relaxed structure of TaAlP2, computed with GGA-PBE.

The structure in POSCAR format:
```
TaAlP2
1.0
2.894 0.000 0.000
-1.447 2.506 0.000
0.000 0.000 29.884
Ta Al P
3 3 6
direct
0.000 0.000 0.000
0.333 0.667 0.667
0.667 0.333 0.333
0.000 0.000 0.745
0.333 0.667 0.411
0.667 0.333 0.078
0.000 0.000 0.263
0.000 0.000 0.477
0.333 0.667 0.144
0.333 0.667 0.930
0.667 0.333 0.597
0.667 0.333 0.810
```

Calculated values
**VASP energy**: -6.473 eV/atom
**Fermi-level density of states**: 9.97 states/eV/cell
**ρ**: 6.202 g/cm3

---

Record 12
A relaxed structure of TaAlP2, computed with GGA-PBE.

The structure in POSCAR format:
```
TaAlP2
1.0
3.410 0.000 0.000
0.000 3.633 0.000
0.000 0.000 5.105
Ta Al P
1 1 2
direct
0.000 0.000 0.000
0.000 0.500 0.500
0.500 0.000 0.500
0.500 0.500 0.000
```

Calculated values
**VASP energy**: -6.673 eV/atom
**Fermi-level density of states**: 2.76 states/eV/cell
**ρ**: 7.086 g/cm3